No. 1
CuTcRuW2 after structural relaxation. Source: the Alexandria database, functional PBE.

a b c (Å): 4.687 4.687 4.623
angles (deg): 90.00 90.00 90.00
Element x y z (fractional)
Cu: 0.000 0.000 0.000
Tc: 0.500 0.500 0.500
Ru: 0.500 0.500 0.000
W: 0.000 0.500 0.500
W: 0.500 0.000 0.500

For the magnetization, the calculation gives 0.0000 μB per atom. The calculation puts the total energy at -7.9184 eV per atom. As for the crystal system: tetragonal. As for the mass density: 10.31 g/cm³.

---

No. 2
LiZrTe3 after structural relaxation. Source: the Alexandria database, functional PBE.

a b c (Å): 5.644 5.644 5.644
angles (deg): 90.00 90.00 90.00
Element x y z (fractional)
Li: 0.000 0.000 0.000
Zr: 0.500 0.500 0.500
Te: 0.000 0.500 0.500
Te: 0.500 0.000 0.500
Te: 0.500 0.500 0.000

For the magnetization, the calculation gives 0.0000 μB per atom. The uncorrected formation energy comes out at -2.1 eV per formula unit. The calculation puts the total energy at -4.4035 eV per atom. As for the polymorph energy (0 for the lowest one): 271 meV/atom. As for the crystal system: cubic. As for the mass density: 4.44 g/cm³.

---

No. 3
Ca2Si2W after structural relaxation. Source: the Alexandria database, functional PBE.

a b c (Å): 6.778 6.778 4.564
angles (deg): 90.00 90.00 90.00
Element x y z (fractional)
Ca: 0.174 0.326 0.000
Ca: 0.326 0.826 0.000
Ca: 0.674 0.174 0.000
Ca: 0.826 0.674 0.000
Si: 0.139 0.639 0.500
Si: 0.361 0.139 0.500
Si: 0.639 0.861 0.500
Si: 0.861 0.361 0.500
W: 0.000 0.000 0.500
W: 0.500 0.500 0.500

For the magnetization, the calculation gives 0.0000 μB per atom. The uncorrected formation energy comes out at 0.0 eV per formula unit. The calculation puts the total energy at -5.5702 eV per atom. As for the crystal system: tetragonal. As for the mass density: 5.07 g/cm³.

---

No. 4
Cs12Tl3Zn5 after structural relaxation. Source: the Alexandria database, functional PBE.

a b c (Å): 19.700 19.700 19.700
angles (deg): 109.47 109.47 109.47
Element x y z (fractional)
Cs: 0.049 0.223 0.129
Cs: 0.049 0.326 0.920
Cs: 0.080 0.629 0.406
Cs: 0.080 0.951 0.674
Cs: 0.094 0.723 0.674
Cs: 0.094 0.871 0.420
Cs: 0.129 0.049 0.223
Cs: 0.129 0.580 0.906
Cs: 0.174 0.223 0.594
Cs: 0.174 0.451 0.580
Cs: 0.223 0.129 0.049
Cs: 0.223 0.594 0.174
Cs: 0.277 0.326 0.906
Cs: 0.277 0.451 0.371
Cs: 0.326 0.906 0.277
Cs: 0.326 0.920 0.049
Cs: 0.371 0.277 0.451
Cs: 0.371 0.594 0.920
Cs: 0.406 0.080 0.629
Cs: 0.406 0.826 0.777
Cs: 0.420 0.094 0.871
Cs: 0.420 0.826 0.549
Cs: 0.451 0.371 0.277
Cs: 0.451 0.580 0.174
Cs: 0.549 0.420 0.826
Cs: 0.549 0.629 0.723
Cs: 0.580 0.174 0.451
Cs: 0.580 0.906 0.129
Cs: 0.594 0.174 0.223
Cs: 0.594 0.920 0.371
Cs: 0.629 0.406 0.080
Cs: 0.629 0.723 0.549
Cs: 0.674 0.080 0.951
Cs: 0.674 0.094 0.723
Cs: 0.723 0.549 0.629
Cs: 0.723 0.674 0.094
Cs: 0.777 0.406 0.826
Cs: 0.777 0.871 0.951
Cs: 0.826 0.549 0.420
Cs: 0.826 0.777 0.406
Cs: 0.871 0.420 0.094
Cs: 0.871 0.951 0.777
Cs: 0.906 0.129 0.580
Cs: 0.906 0.277 0.326
Cs: 0.920 0.049 0.326
Cs: 0.920 0.371 0.594
Cs: 0.951 0.674 0.080
Cs: 0.951 0.777 0.871
Tl: 0.125 0.250 0.375
Tl: 0.125 0.375 0.750
Tl: 0.250 0.375 0.125
Tl: 0.250 0.875 0.625
Tl: 0.375 0.125 0.250
Tl: 0.375 0.750 0.125
Tl: 0.625 0.250 0.875
Tl: 0.625 0.875 0.750
Tl: 0.750 0.125 0.375
Tl: 0.750 0.625 0.875
Tl: 0.875 0.625 0.250
Tl: 0.875 0.750 0.625
Zn: 0.000 0.000 0.000
Zn: 0.000 0.000 0.500
Zn: 0.000 0.500 0.000
Zn: 0.000 0.500 0.500
Zn: 0.125 0.750 0.875
Zn: 0.125 0.875 0.250
Zn: 0.250 0.125 0.875
Zn: 0.250 0.625 0.375
Zn: 0.375 0.250 0.625
Zn: 0.375 0.625 0.750
Zn: 0.500 0.000 0.000
Zn: 0.500 0.000 0.500
Zn: 0.500 0.500 0.000
Zn: 0.500 0.500 0.500
Zn: 0.625 0.375 0.250
Zn: 0.625 0.750 0.375
Zn: 0.750 0.375 0.625
Zn: 0.750 0.875 0.125
Zn: 0.875 0.125 0.750
Zn: 0.875 0.250 0.125

For the magnetization, the calculation gives 0.0409 μB per atom. The calculation puts the total energy at -0.9647 eV per atom. As for the crystal system: cubic. As for the mass density: 2.86 g/cm³.

---

No. 5
LaSm2HgN after structural relaxation. Source: the Alexandria database, functional PBE.

a b c (Å): 4.964 4.964 5.080
angles (deg): 90.00 90.00 90.00
Element x y z (fractional)
La: 0.000 0.000 0.000
Sm: 0.000 0.500 0.500
Sm: 0.500 0.000 0.500
Hg: 0.500 0.500 0.000
N: 0.000 0.000 0.500

For the magnetization, the calculation gives 0.0000 μB per atom. The uncorrected formation energy comes out at -4.0 eV per formula unit. The calculation puts the total energy at -5.3935 eV per atom. As for the crystal system: tetragonal. As for the mass density: 8.68 g/cm³.

---

No. 6
CaPm3Y2Se6 after structural relaxation. Source: the Alexandria database, functional PBE.

a b c (Å): 9.307 9.307 8.378
angles (deg): 103.42 103.42 25.64
Element x y z (fractional)
Ca: 0.000 0.000 0.000
Pm: 0.000 0.000 0.500
Pm: 0.334 0.334 0.172
Pm: 0.666 0.666 0.828
Y: 0.331 0.331 0.663
Y: 0.669 0.669 0.337
Se: 0.165 0.165 0.088
Se: 0.168 0.168 0.577
Se: 0.497 0.497 0.754
Se: 0.503 0.503 0.246
Se: 0.832 0.832 0.423
Se: 0.835 0.835 0.912

For the magnetization, the calculation gives 0.0000 μB per atom. The uncorrected formation energy comes out at -22.1 eV per formula unit. The calculation puts the total energy at -6.0131 eV per atom. As for the crystal system: monoclinic. As for the mass density: 6.13 g/cm³.

---

No. 7
Pr6Zn5Ni after structural relaxation. Source: the Alexandria database, functional PBE.

a b c (Å): 9.018 9.018 9.018
angles (deg): 146.42 131.69 60.12
Element x y z (fractional)
Pr: 0.081 0.338 0.743
Pr: 0.240 0.000 0.240
Pr: 0.405 0.662 0.743
Pr: 0.595 0.338 0.257
Pr: 0.760 0.000 0.760
Pr: 0.919 0.662 0.257
Zn: 0.178 0.178 0.000
Zn: 0.332 0.832 0.500
Zn: 0.500 0.500 0.000
Zn: 0.668 0.168 0.500
Zn: 0.822 0.822 0.000
Ni: 0.000 0.500 0.500

For the magnetization, the calculation gives 0.0000 μB per atom. The calculation puts the total energy at -3.6780 eV per atom. As for the crystal system: orthorhombic. As for the mass density: 6.81 g/cm³.

---

No. 8
EuYGa after structural relaxation. Source: the Alexandria database, functional PBE.

a b c (Å): 6.949 6.949 6.949
angles (deg): 149.20 149.20 44.11
Element x y z (fractional)
Eu: 0.000 0.000 0.000
Y: 0.273 0.273 0.000
Ga: 0.653 0.653 0.000

For the magnetization, the calculation gives 2.4421 μB per atom. The calculation puts the total energy at -6.9187 eV per atom. As for the polymorph energy (0 for the lowest one): 0 meV/atom. As for the crystal system: tetragonal. As for the mass density: 5.88 g/cm³.

---

No. 9
H4Rh2Pb after structural relaxation. Source: the Alexandria database, functional PBE.

a b c (Å): 5.935 5.935 5.252
angles (deg): 105.96 105.96 113.97
Element x y z (fractional)
H: 0.021 0.243 0.714
H: 0.056 0.944 0.500
H: 0.243 0.021 0.214
H: 0.259 0.492 0.306
H: 0.492 0.259 0.806
H: 0.573 0.923 0.530
H: 0.923 0.573 0.030
H: 0.944 0.056 0.000
Rh: 0.103 0.227 0.408
Rh: 0.212 0.764 0.354
Rh: 0.227 0.103 0.908
Rh: 0.764 0.212 0.854
Pb: 0.459 0.744 0.951
Pb: 0.744 0.459 0.451

For the magnetization, the calculation gives 0.0000 μB per atom. The calculation puts the total energy at -4.5514 eV per atom. As for the polymorph energy (0 for the lowest one): 0 meV/atom. As for the crystal system: monoclinic. As for the mass density: 9.49 g/cm³.

---

No. 10
ZnGeMoAs2 after structural relaxation. Source: the Alexandria database, functional PBE.

a b c (Å): 4.898 4.898 4.918
angles (deg): 90.00 90.00 90.00
Element x y z (fractional)
Zn: 0.000 0.000 0.000
Ge: 0.500 0.500 0.500
Mo: 0.500 0.500 0.000
As: 0.000 0.500 0.500
As: 0.500 0.000 0.500

For the magnetization, the calculation gives 0.4483 μB per atom. The calculation puts the total energy at -4.0430 eV per atom. As for the crystal system: tetragonal. As for the mass density: 5.40 g/cm³.

---

No. 11
NaIn8Hg6 after structural relaxation. Source: the Alexandria database, functional PBE.

a b c (Å): 8.217 8.217 8.217
angles (deg): 64.24 64.24 64.24
Element x y z (fractional)
Na: 0.000 0.000 0.000
In: 0.126 0.427 0.767
In: 0.233 0.874 0.573
In: 0.337 0.337 0.337
In: 0.427 0.767 0.126
In: 0.573 0.233 0.874
In: 0.663 0.663 0.663
In: 0.767 0.126 0.427
In: 0.874 0.573 0.233
Hg: 0.049 0.743 0.417
Hg: 0.257 0.583 0.951
Hg: 0.417 0.049 0.743
Hg: 0.583 0.951 0.257
Hg: 0.743 0.417 0.049
Hg: 0.951 0.257 0.583

For the magnetization, the calculation gives 0.0000 μB per atom. The calculation puts the total energy at -1.6760 eV per atom. As for the crystal system: trigonal. As for the mass density: 8.30 g/cm³.

---

No. 12
SnGeMo2 after structural relaxation. Source: the Alexandria database, functional PBE.

a b c (Å): 8.601 8.601 8.601
angles (deg): 20.68 20.68 20.68
Element x y z (fractional)
Sn: 0.000 0.000 0.000
Ge: 0.500 0.500 0.500
Mo: 0.244 0.244 0.244
Mo: 0.756 0.756 0.756

For the magnetization, the calculation gives 0.0000 μB per atom. The calculation puts the total energy at -7.2891 eV per atom. As for the polymorph energy (0 for the lowest one): 27 meV/atom. As for the crystal system: trigonal. As for the mass density: 9.16 g/cm³.

---

No. 13
MnCu2Au3 after structural relaxation. Source: the Alexandria database, functional PBE.

a b c (Å): 2.792 15.983 4.614
angles (deg): 90.00 90.00 90.00
Element x y z (fractional)
Mn: 0.000 0.000 0.000
Mn: 0.500 0.500 0.405
Cu: 0.000 0.373 0.559
Cu: 0.000 0.627 0.559
Cu: 0.500 0.240 0.561
Cu: 0.500 0.760 0.561
Au: 0.000 0.300 0.063
Au: 0.000 0.500 0.920
Au: 0.000 0.700 0.063
Au: 0.500 0.000 0.506
Au: 0.500 0.142 0.049
Au: 0.500 0.858 0.049

For the magnetization, the calculation gives 0.6598 μB per atom. The calculation puts the total energy at -4.3659 eV per atom. As for the polymorph energy (0 for the lowest one): 218 meV/atom. As for the crystal system: orthorhombic. As for the mass density: 12.47 g/cm³.

---

No. 14
Dy3AuO after structural relaxation. Source: the Alexandria database, functional PBE.

a b c (Å): 4.717 4.717 4.717
angles (deg): 90.00 90.00 90.00
Element x y z (fractional)
Dy: 0.000 0.000 0.500
Dy: 0.000 0.500 0.000
Dy: 0.500 0.000 0.000
Au: 0.500 0.500 0.500
O: 0.000 0.000 0.000

For the magnetization, the calculation gives 0.0001 μB per atom. The uncorrected formation energy comes out at -7.3 eV per formula unit. The calculation puts the total energy at -5.8611 eV per atom. As for the crystal system: cubic. As for the mass density: 11.09 g/cm³.

---

No. 15
Nb4Sb after structural relaxation. Source: the Alexandria database, functional PBE.

a b c (Å): 4.964 4.964 4.964
angles (deg): 90.00 90.00 90.00
Element x y z (fractional)
Nb: 0.000 0.000 0.000
Nb: 0.000 0.500 0.500
Nb: 0.500 0.000 0.500
Nb: 0.500 0.500 0.000
Sb: 0.500 0.500 0.500

For the magnetization, the calculation gives 0.0004 μB per atom. The uncorrected formation energy comes out at 7.9 eV per formula unit. The calculation puts the total energy at -7.3100 eV per atom. As for the crystal system: cubic. As for the mass density: 6.70 g/cm³.

---

No. 16
CaEr2Ru after structural relaxation. Source: the Alexandria database, functional PBE.

a b c (Å): 10.615 10.615 10.615
angles (deg): 20.32 20.32 20.32
Element x y z (fractional)
Ca: 0.000 0.000 0.000
Er: 0.114 0.114 0.114
Er: 0.886 0.886 0.886
Ru: 0.500 0.500 0.500

For the magnetization, the calculation gives 0.0000 μB per atom. The calculation puts the total energy at -5.0843 eV per atom. As for the polymorph energy (0 for the lowest one): 276 meV/atom. As for the crystal system: trigonal. As for the mass density: 6.25 g/cm³.

---

No. 17
KSr3Rh after structural relaxation. Source: the Alexandria database, functional PBE.

a b c (Å): 17.181 17.181 17.181
angles (deg): 159.16 159.16 29.64
Element x y z (fractional)
K: 0.000 0.000 0.000
K: 0.750 0.250 0.500
Sr: 0.337 0.337 0.000
Sr: 0.358 0.121 0.237
Sr: 0.663 0.663 0.000
Sr: 0.879 0.116 0.237
Sr: 0.879 0.642 0.763
Sr: 0.884 0.121 0.763
Rh: 0.131 0.631 0.500
Rh: 0.369 0.869 0.500

For the magnetization, the calculation gives 0.0001 μB per atom. The calculation puts the total energy at -1.9305 eV per atom. As for the polymorph energy (0 for the lowest one): 905 meV/atom. As for the crystal system: tetragonal. As for the mass density: 2.10 g/cm³.

---

No. 18
Ac2Pr6Nd after structural relaxation. Source: the Alexandria database, functional PBE.

a b c (Å): 8.704 8.704 10.795
angles (deg): 90.00 90.00 90.00
Element x y z (fractional)
Ac: 0.000 0.000 0.167
Ac: 0.000 0.000 0.833
Ac: 0.500 0.500 0.333
Ac: 0.500 0.500 0.667
Pr: 0.233 0.233 0.337
Pr: 0.233 0.233 0.663
Pr: 0.244 0.244 0.000
Pr: 0.256 0.744 0.500
Pr: 0.267 0.733 0.163
Pr: 0.267 0.733 0.837
Pr: 0.733 0.267 0.163
Pr: 0.733 0.267 0.837
Pr: 0.744 0.256 0.500
Pr: 0.756 0.756 0.000
Pr: 0.767 0.767 0.337
Pr: 0.767 0.767 0.663
Nd: 0.000 0.000 0.500
Nd: 0.500 0.500 0.000

For the magnetization, the calculation gives 0.0000 μB per atom. The calculation puts the total energy at -3.9564 eV per atom. As for the polymorph energy (0 for the lowest one): 600 meV/atom. As for the crystal system: tetragonal. As for the mass density: 5.86 g/cm³.

---

No. 19
Pr2Nb2N3 after structural relaxation. Source: the Alexandria database, functional PBE.

a b c (Å): 6.301 6.301 5.895
angles (deg): 111.84 111.84 31.86
Element x y z (fractional)
Pr: 0.110 0.110 0.325
Pr: 0.890 0.890 0.675
Nb: 0.344 0.344 0.168
Nb: 0.656 0.656 0.832
N: 0.247 0.247 0.770
N: 0.500 0.500 0.500
N: 0.753 0.753 0.230

For the magnetization, the calculation gives 0.0000 μB per atom. The uncorrected formation energy comes out at -7.5 eV per formula unit. The calculation puts the total energy at -8.8844 eV per atom. As for the crystal system: monoclinic. As for the mass density: 7.43 g/cm³.

---

No. 20
YAgTe2 after structural relaxation. Source: the Alexandria database, functional PBE.

a b c (Å): 7.127 7.127 4.746
angles (deg): 90.00 90.00 90.00
Element x y z (fractional)
Y: 0.000 0.500 0.195
Y: 0.500 0.000 0.805
Ag: 0.000 0.000 0.000
Ag: 0.500 0.500 0.000
Te: 0.201 0.701 0.712
Te: 0.299 0.201 0.288
Te: 0.701 0.799 0.288
Te: 0.799 0.299 0.712

For the magnetization, the calculation gives 0.0000 μB per atom. The uncorrected formation energy comes out at -3.7 eV per formula unit. The calculation puts the total energy at -4.8240 eV per atom. As for the crystal system: tetragonal. As for the mass density: 6.23 g/cm³.

---

No. 21
Ga2CuPt3 after structural relaxation. Source: the Alexandria database, functional PBE.

a b c (Å): 2.890 2.890 10.600
angles (deg): 90.00 90.00 90.00
Element x y z (fractional)
Ga: 0.000 0.000 0.174
Ga: 0.000 0.000 0.826
Cu: 0.000 0.000 0.500
Pt: 0.500 0.500 0.000
Pt: 0.500 0.500 0.332
Pt: 0.500 0.500 0.668

For the magnetization, the calculation gives 0.0000 μB per atom. The calculation puts the total energy at -5.1596 eV per atom. As for the polymorph energy (0 for the lowest one): 0 meV/atom. As for the crystal system: tetragonal. As for the mass density: 14.79 g/cm³.